LiVIn2 (PBE-GGA, optimized geometry); M_tot = 3.05 μB per formula unit; energy above the lowest structure with this stoichiometry = 457.1 meV/atom; crystal system = tetragonal; E_form = 1.83 eV/f.u.
1.0
4.293 0.000 0.000
0.000 4.293 0.000
0.000 0.000 19.579
Li V In
4 4 8
direct
0.000 0.000 0.000 Li
0.000 0.500 0.250 Li
0.500 0.000 0.750 Li
0.500 0.500 0.500 Li
0.000 0.000 0.500 V
0.000 0.500 0.750 V
0.500 0.000 0.250 V
0.500 0.500 0.000 V
0.248 0.250 0.625 In
0.250 0.748 0.875 In
0.250 0.752 0.375 In
0.252 0.250 0.125 In
0.748 0.750 0.125 In
0.750 0.248 0.375 In
0.750 0.252 0.875 In
0.752 0.750 0.625 In